1.
An optimized crystal structure of Ag3MoBr9, computed with PBE.

Summary:
The uncorrected formation energy comes out at -0.342 eV/atom. For the density of states at the Fermi level, the calculation gives 0.00 states/eV per atom. The magnetic moment comes out at 0.00 μB/f.u.

Cell: 10.645 10.645 12.827 Å, 124.68 124.68 56.46°
Atoms (fractional coordinates):
Ag1 0.080 0.920 0.500
Ag2 0.292 0.559 0.616
Ag3 0.298 0.727 0.308
Ag4 0.559 0.292 0.116
Ag5 0.727 0.298 0.808
Ag6 0.920 0.080 0.000
Mo1 0.478 0.782 0.098
Mo2 0.782 0.478 0.598
Br1 0.007 0.756 0.528
Br2 0.019 0.224 0.974
Br3 0.077 0.406 0.701
Br4 0.196 0.793 0.017
Br5 0.224 0.019 0.474
Br6 0.268 0.465 0.105
Br7 0.400 0.793 0.876
Br8 0.406 0.077 0.201
Br9 0.465 0.268 0.605
Br10 0.471 0.547 0.490
Br11 0.544 0.786 0.319
Br12 0.547 0.471 0.990
Br13 0.725 0.763 0.657
Br14 0.756 0.007 0.028
Br15 0.763 0.725 0.157
Br16 0.786 0.544 0.819
Br17 0.793 0.196 0.517
Br18 0.793 0.400 0.376



2.
An optimized crystal structure of Ag2MoBr5, computed with PBE.

Summary:
The uncorrected formation energy comes out at -0.343 eV/atom. The magnetic moment comes out at 3.00 μB/f.u.

Cell: 5.157 7.539 7.565 Å, 83.66 70.09 70.16°
Atoms (fractional coordinates):
Ag1 0.000 0.000 0.000
Ag2 0.449 0.436 0.663
Mo1 0.792 0.885 0.531
Br1 0.039 0.695 0.227
Br2 0.267 0.872 0.594
Br3 0.529 0.085 0.858
Br4 0.728 0.199 0.348
Br5 0.854 0.565 0.725



Which value of magnetic moment does entry 2 give?
3.00 μB/f.u.